# 1
The following is a GGA-PBE calculation of an optimized crystal structure of HoTa2, from the Alexandria database.

```
HoTa2
1.0
5.713 0.000 0.000
2.857 4.948 0.000
2.857 1.649 4.665
Ho Ta
2 4
Cartesian
2.857 1.649 1.166
0.000 0.000 0.000
5.713 3.298 0.583
4.285 4.123 2.915
5.713 1.649 2.915
7.141 4.123 2.915
```

ΔH_f (0 K) = 253 meV per atom



# 2
The following is a GGA-PBE calculation of an optimized crystal structure of CrGe2SbBr, from the Alexandria database.

```
CrGe2SbBr
1.0
5.456 0.000 0.000
0.000 5.251 0.000
0.000 0.000 5.456
Br Sb Cr Ge
1 1 1 2
Cartesian
2.728 2.626 2.728
0.000 0.000 0.000
0.000 2.626 0.000
0.000 0.000 2.728
2.728 0.000 0.000
```

ΔE_f (raw) = 0.801 eV per atom



# 3
The following is a GGA-PBE calculation of an optimized crystal structure of CaPr2Ag, from the Alexandria database.

```
CaPr2Ag
1.0
-2.807 -1.087 2.365
-2.211 -0.838 -3.010
3.248 -8.460 -0.032
Pr Ca Ag
2 1 1
Cartesian
0.642 -1.672 -0.006
2.606 -6.788 -0.026
-0.885 -5.192 -0.339
-2.509 -0.962 -0.323
```

ΔH_f (0 K) = -53 meV per atom
energy above the lowest structure with this stoichiometry = 35.8 meV/atom



# 4
The following is a GGA-PBE calculation of an optimized crystal structure of Cs2Tl6In, from the Alexandria database.

```
Cs2Tl6In
1.0
7.401 0.052 0.030
0.119 7.331 0.212
0.119 3.836 6.251
Tl Cs In
6 2 1
Cartesian
5.048 5.576 1.298
2.590 5.643 5.195
2.824 9.203 5.326
2.590 7.315 2.304
4.814 2.015 1.166
5.048 3.903 4.188
1.054 3.678 2.128
6.585 7.541 4.364
0.000 0.000 0.000
```

ΔH_f (0 K) = -63 meV per atom



# 5
The following is a GGA-PBE calculation of an optimized crystal structure of Rb3ReBr6, from the Alexandria database.

```
Rb3ReBr6
1.0
8.156 0.000 0.000
0.000 8.156 0.000
4.078 4.078 5.767
Rb Br Re
3 6 1
Cartesian
4.078 4.078 0.000
8.156 4.078 2.884
4.078 8.156 2.884
1.803 1.803 0.000
8.156 8.156 2.550
1.803 6.352 0.000
4.078 4.078 3.217
6.352 1.803 0.000
6.352 6.352 0.000
0.000 0.000 0.000
```

ΔE_f (raw) = -1.015 eV per atom



# 6
The following is a GGA-PBE calculation of an optimized crystal structure of MgV2InP, from the Alexandria database.

```
MgV2InP
1.0
5.176 0.000 0.000
0.000 4.943 0.000
0.000 0.000 5.176
P In V Mg
1 1 2 1
Cartesian
0.000 2.472 0.000
0.000 0.000 0.000
2.588 0.000 0.000
0.000 0.000 2.588
2.588 2.472 2.588
```

ΔH_f (0 K) = 1376 meV per atom



# 7
The following is a GGA-PBE calculation of an optimized crystal structure of DyY5TmSc2, from the Alexandria database.

```
DyY5TmSc2
1.0
5.601 0.000 0.000
-2.800 10.663 0.000
0.000 0.000 9.361
Y Sc Tm Dy
10 4 2 2
Cartesian
0.000 5.629 3.148
0.000 0.256 0.108
2.800 4.141 2.018
0.000 6.522 6.699
0.000 8.282 0.440
0.000 10.010 7.002
2.800 5.034 7.829
2.800 2.381 5.120
2.800 0.653 2.322
2.800 10.407 4.788
2.800 8.256 7.705
0.000 2.830 6.590
0.000 2.407 3.025
2.800 7.833 1.910
0.000 8.552 3.939
2.800 2.111 8.619
2.800 6.747 4.844
0.000 3.916 0.164
```

ΔH_f (0 K) = 166 meV per atom



# 8
The following is a GGA-PBE calculation of an optimized crystal structure of TbCe2Ni2Ge2, from the Alexandria database.

```
TbCe2Ni2Ge2
1.0
-1.796 2.238 -3.074
-3.346 -1.531 -2.037
-7.099 4.086 4.248
Ce Ni Ge Tb
2 2 2 1
Cartesian
-4.884 2.503 1.800
-7.357 2.291 -2.663
-4.631 1.331 -2.077
-7.610 3.462 1.215
-2.842 1.042 -0.457
-9.399 3.751 -0.405
0.000 0.000 0.000
```

ΔH_f (0 K) = -644 meV per atom



no.,magnetic moment (μB per atom),DFT total energy (eV/cell)
1,0.000,-55.0
2,0.807,-20.7
3,0.117,-14.6
4,0.000,-19.2
5,0.200,-35.5
6,1.326,-21.1
7,0.000,-105.1
8,0.113,-41.8